First-principles (PBE) data for crystalline Ce5TmOs4 at its relaxed geometry, as listed in the Alexandria database.

```
data_Ce5TmOs4
_cell_length_a 14.656
_cell_length_b 4.834
_cell_length_c 6.758
_cell_angle_alpha 90.00
_cell_angle_beta 97.64
_cell_angle_gamma 90.00
_space_group_name_H-M_alt 'C 1 2/m 1'
_space_group_IT_number 12
_space_group_name_Hall '-C 2y'
loop_
_atom_site_label
_atom_site_fract_x
_atom_site_fract_y
_atom_site_fract_z
Ce1 0.000 0.000 0.000
Ce2 0.165 0.500 0.541
Ce3 0.172 0.500 0.026
Tm1 0.000 0.000 0.500
Os1 0.002 0.500 0.243
Os2 0.161 0.000 0.268
```

Calculated values
Crystal system ... monoclinic
E_form ... -1.57 eV/f.u.

First-principles (PBE) data for crystalline Tm2AlV at its relaxed geometry, as listed in the Alexandria database.

```
data_Tm2AlV
_cell_length_a 3.588
_cell_length_b 3.588
_cell_length_c 6.970
_cell_angle_alpha 90.00
_cell_angle_beta 90.00
_cell_angle_gamma 90.00
_space_group_name_H-M_alt 'P 4/m m m'
_space_group_IT_number 123
_space_group_name_Hall '-P 4 2'
loop_
_atom_site_label
_atom_site_fract_x
_atom_site_fract_y
_atom_site_fract_z
Tm1 0.000 0.000 0.244
Al1 0.500 0.500 0.500
V1 0.500 0.500 0.000
```

Calculated values
Crystal system ... tetragonal
E_form ... -0.21 eV/f.u.
Excess energy over the best structure of this formula in the dataset ... 6 meV/atom

First-principles (PBE) data for crystalline Ac2P2Pt7 at its relaxed geometry, as listed in the Alexandria database.

```
data_Ac2P2Pt7
_cell_length_a 4.884
_cell_length_b 7.123
_cell_length_c 7.520
_cell_angle_alpha 62.21
_cell_angle_beta 89.43
_cell_angle_gamma 88.82
_space_group_name_H-M_alt 'P -1'
_space_group_IT_number 2
_space_group_name_Hall '-P 1'
loop_
_atom_site_label
_atom_site_fract_x
_atom_site_fract_y
_atom_site_fract_z
Ac1 0.002 0.326 0.348
P1 0.300 0.199 0.995
Pt1 0.153 0.826 0.012
Pt2 0.471 0.337 0.674
Pt3 0.492 0.045 0.311
Pt4 0.500 0.500 0.000
```

Calculated values
Crystal system ... triclinic
E_form ... -8.42 eV/f.u.

First-principles (PBE) data for crystalline GaNi2Pt2 at its relaxed geometry, as listed in the Alexandria database.

```
data_GaNi2Pt2
_cell_length_a 6.537
_cell_length_b 6.537
_cell_length_c 3.485
_cell_angle_alpha 90.00
_cell_angle_beta 90.00
_cell_angle_gamma 90.00
_space_group_name_H-M_alt 'P 4/m b m'
_space_group_IT_number 127
_space_group_name_Hall '-P 4 2ab'
loop_
_atom_site_label
_atom_site_fract_x
_atom_site_fract_y
_atom_site_fract_z
Ga1 0.000 0.000 0.000
Ni1 0.148 0.352 0.500
Pt1 0.147 0.647 0.000
```

Calculated values
Crystal system ... tetragonal
E_form ... -0.45 eV/f.u.
Excess energy over the best structure of this formula in the dataset ... 131 meV/atom

First-principles (PBE) data for crystalline Bi3PdPt at its relaxed geometry, as listed in the Alexandria database.

```
data_Bi3PdPt
_cell_length_a 5.390
_cell_length_b 5.390
_cell_length_c 5.390
_cell_angle_alpha 90.00
_cell_angle_beta 90.00
_cell_angle_gamma 90.00
_space_group_name_H-M_alt 'P m -3 m'
_space_group_IT_number 221
_space_group_name_Hall '-P 4 2 3'
loop_
_atom_site_label
_atom_site_fract_x
_atom_site_fract_y
_atom_site_fract_z
Bi1 0.000 0.000 0.500
Pd1 0.500 0.500 0.500
Pt1 0.000 0.000 0.000
```

Calculated values
Crystal system ... cubic
E_form ... 2.53 eV/f.u.
Excess energy over the best structure of this formula in the dataset ... 661 meV/atom

First-principles (PBE) data for crystalline Ce2Ga3Hg at its relaxed geometry, as listed in the Alexandria database.

```
data_Ce2Ga3Hg
_cell_length_a 7.387
_cell_length_b 9.235
_cell_length_c 16.010
_cell_angle_alpha 90.00
_cell_angle_beta 90.00
_cell_angle_gamma 90.00
_space_group_name_H-M_alt 'F m m m'
_space_group_IT_number 69
_space_group_name_Hall '-F 2 2'
loop_
_atom_site_label
_atom_site_fract_x
_atom_site_fract_y
_atom_site_fract_z
Ce1 0.246 0.000 0.000
Ce2 0.250 0.250 0.250
Ga1 0.000 0.000 0.338
Ga2 0.000 0.242 0.419
Hg1 0.000 0.000 0.167
```

Calculated values
Crystal system ... orthorhombic
E_form ... -2.84 eV/f.u.

First-principles (PBE) data for crystalline YRhPb4 at its relaxed geometry, as listed in the Alexandria database.

```
data_YRhPb4
_cell_length_a 8.852
_cell_length_b 8.852
_cell_length_c 8.852
_cell_angle_alpha 90.00
_cell_angle_beta 90.00
_cell_angle_gamma 90.00
_space_group_name_H-M_alt 'F -4 3 m'
_space_group_IT_number 216
_space_group_name_Hall 'F -4 2 3'
loop_
_atom_site_label
_atom_site_fract_x
_atom_site_fract_y
_atom_site_fract_z
Y1 0.000 0.000 0.000
Rh1 0.250 0.250 0.250
Pb1 0.125 0.125 0.625
```

Calculated values
Crystal system ... cubic
E_form ... 2.25 eV/f.u.

First-principles (PBE) data for crystalline Li2CuSi at its relaxed geometry, as listed in the Alexandria database.

```
data_Li2CuSi
_cell_length_a 5.881
_cell_length_b 5.881
_cell_length_c 5.881
_cell_angle_alpha 90.00
_cell_angle_beta 90.00
_cell_angle_gamma 90.00
_space_group_name_H-M_alt 'F m -3 m'
_space_group_IT_number 225
_space_group_name_Hall '-F 4 2 3'
loop_
_atom_site_label
_atom_site_fract_x
_atom_site_fract_y
_atom_site_fract_z
Li1 0.250 0.250 0.250
Cu1 0.000 0.000 0.000
Si1 0.000 0.000 0.500
```

Calculated values
E_form (uncorrected) ... -6.0 kJ per mole of atoms
Crystal system ... cubic

| no. | calculated density (g/cm³) | E_tot (eV per atom) |
| --- | --- | --- |
| 1 | 11.41 | -8.063 |
| 2 | 7.69 | -5.502 |
| 3 | 13.50 | -6.340 |
| 4 | 12.87 | -5.424 |
| 5 | 9.85 | -4.069 |
| 6 | 8.39 | -4.015 |
| 7 | 9.77 | -4.399 |
| 8 | 3.45 | -3.399 |